1.
! Pm3TmO6 GGA-PBE optimized geometry; values from VASP
&SYSTEM
  ibrav = 0, nat = 20, ntyp = 3
/
ATOMIC_SPECIES
Pm 145.00 Pm.upf
Tm 168.93 Tm.upf
O 16.00 O.upf
ATOMIC_POSITIONS crystal
Pm 0.057 0.564 0.752
Pm 0.248 0.943 0.436
Pm 0.436 0.248 0.943
Pm 0.564 0.752 0.057
Pm 0.752 0.057 0.564
Pm 0.943 0.436 0.248
Tm 0.000 0.000 0.000
Tm 0.500 0.500 0.500
O 0.034 0.904 0.691
O 0.096 0.309 0.966
O 0.192 0.589 0.433
O 0.309 0.966 0.096
O 0.411 0.567 0.808
O 0.433 0.192 0.589
O 0.567 0.808 0.411
O 0.589 0.433 0.192
O 0.691 0.034 0.904
O 0.808 0.411 0.567
O 0.904 0.691 0.034
O 0.966 0.096 0.309
CELL_PARAMETERS angstrom
4.946 2.856 3.843
-4.946 2.856 3.843
0.000 -5.711 3.843
! - Total energy: -8.332 eV/atom
! - Magnetic moment: 0.00 μB/cell
! - Formation energy without anion corrections: -34.84 eV per formula unit
! - ΔE to the lowest computed polymorph: 0.000 eV/atom
! - Volume: 325.7 Å³ per cell

=====

2.
! Pa3Be2Pt4 GGA-PBE optimized geometry; values from VASP
&SYSTEM
  ibrav = 0, nat = 9, ntyp = 3
/
ATOMIC_SPECIES
Pa 231.04 Pa.upf
Be 9.01 Be.upf
Pt 195.08 Pt.upf
ATOMIC_POSITIONS crystal
Pa 0.000 0.000 0.000
Pa 0.349 0.349 0.335
Pa 0.651 0.651 0.665
Be 0.366 0.366 0.696
Be 0.634 0.634 0.304
Pt 0.074 0.074 0.382
Pt 0.288 0.288 0.919
Pt 0.712 0.712 0.081
Pt 0.926 0.926 0.618
CELL_PARAMETERS angstrom
5.123 -2.163 0.000
5.123 2.163 0.000
-3.629 0.000 7.470
! - Formation enthalpy at 0 K: -867 meV/atom
! - Total energy: -7.545 eV/atom
! - Magnetic moment: 0.00 μB/cell
! - Volume: 165.6 Å³ per cell

=====

3.
! Mg3AsW GGA-PBE optimized geometry; values from VASP
&SYSTEM
  ibrav = 0, nat = 5, ntyp = 3
/
ATOMIC_SPECIES
Mg 24.30 Mg.upf
As 74.92 As.upf
W 183.84 W.upf
ATOMIC_POSITIONS crystal
Mg 0.000 0.000 0.500
Mg 0.000 0.500 0.000
Mg 0.500 0.000 0.000
As 0.000 0.000 0.000
W 0.500 0.500 0.500
CELL_PARAMETERS angstrom
4.945 0.000 0.000
0.000 4.945 0.000
0.000 0.000 4.945
! - Formation enthalpy at 0 K: 975 meV/atom
! - Total energy: -3.502 eV/atom
! - Magnetic moment: 3.37 μB/cell
! - ΔE to the lowest computed polymorph: 0.000 eV/atom
! - Volume: 120.9 Å³ per cell

=====

4.
! ErVCo4 GGA-PBE optimized geometry; values from VASP
&SYSTEM
  ibrav = 0, nat = 6, ntyp = 3
/
ATOMIC_SPECIES
Er 167.26 Er.upf
V 50.94 V.upf
Co 58.93 Co.upf
ATOMIC_POSITIONS crystal
Er 0.000 0.000 0.000
V 0.250 0.250 0.250
Co 0.125 0.625 0.625
Co 0.625 0.125 0.625
Co 0.625 0.625 0.125
Co 0.625 0.625 0.625
CELL_PARAMETERS angstrom
0.000 3.440 3.440
3.440 0.000 3.440
3.440 3.440 0.000
! - Formation enthalpy at 0 K: -57 meV/atom
! - Total energy: -7.075 eV/atom
! - Magnetic moment: 2.00 μB/cell
! - ΔE to the lowest computed polymorph: 0.000 eV/atom
! - Volume: 81.4 Å³ per cell

=====

5.
! ScTlW GGA-PBE optimized geometry; values from VASP
&SYSTEM
  ibrav = 0, nat = 3, ntyp = 3
/
ATOMIC_SPECIES
Sc 44.96 Sc.upf
Tl 204.38 Tl.upf
W 183.84 W.upf
ATOMIC_POSITIONS crystal
Sc 0.000 0.000 0.000
Tl 0.682 0.682 0.000
W 0.343 0.343 0.000
CELL_PARAMETERS angstrom
-1.760 1.760 4.822
1.760 -1.760 4.822
1.760 1.760 -4.822
! - Formation enthalpy at 0 K: 469 meV/atom
! - Total energy: -6.748 eV/atom
! - Magnetic moment: 0.10 μB/cell
! - ΔE to the lowest computed polymorph: 0.064 eV/atom
! - Volume: 59.7 Å³ per cell

=====

6.
! MgCd2Ag2 GGA-PBE optimized geometry; values from VASP
&SYSTEM
  ibrav = 0, nat = 10, ntyp = 3
/
ATOMIC_SPECIES
Mg 24.30 Mg.upf
Cd 112.41 Cd.upf
Ag 107.87 Ag.upf
ATOMIC_POSITIONS crystal
Mg 0.000 0.000 0.000
Mg 0.500 0.500 0.000
Cd 0.162 0.338 0.500
Cd 0.338 0.838 0.500
Cd 0.662 0.162 0.500
Cd 0.838 0.662 0.500
Ag 0.137 0.637 0.000
Ag 0.363 0.137 0.000
Ag 0.637 0.863 0.000
Ag 0.863 0.363 0.000
CELL_PARAMETERS angstrom
7.709 0.000 0.000
0.000 7.709 0.000
0.000 0.000 3.455
! - Formation enthalpy at 0 K: -56 meV/atom
! - Total energy: -1.882 eV/atom
! - Magnetic moment: 0.00 μB/cell
! - ΔE to the lowest computed polymorph: 0.059 eV/atom
! - Volume: 205.4 Å³ per cell